Computed, not measured: Tb4Zn3Hg after structural relaxation at the PBE-GGA level of DFT. Values from VASP.

Quantum ESPRESSO input file:
```
&SYSTEM
  ibrav = 0, nat = 8, ntyp = 3
/
ATOMIC_SPECIES
Tb 158.93 Tb.upf
Zn 65.41 Zn.upf
Hg 200.59 Hg.upf
CELL_PARAMETERS angstrom
-3.5384 0.4017 -0.9019
0.9524 -1.3082 -4.3189
-1.9794 -10.9603 2.8834
ATOMIC_POSITIONS crystal
Tb 0.5000 0.5000 0.3542
Tb 0.0000 0.5000 0.8426
Tb 0.0000 0.0000 0.1568
Tb 0.5000 0.0000 0.6504
Zn 0.0000 0.5000 0.5703
Zn 0.0000 0.0000 0.4311
Zn 0.5000 0.0000 0.9224
Hg 0.5000 0.5000 0.0722
```

Symmetry: Pmm2
Crystal system: orthorhombic
E_tot: -3.15 eV per atom
Magnetic moment: 0.000 μB per atom
E_form: -320 meV per atom
E above lowest polymorph: 0.376 eV/f.u.